--- one ---
Entry from Alexandria via LeMat-Bulk: a relaxed ZnMoOF2 crystal (GGA+U).

## Properties
M_tot ... 4.0 μB/f.u.
Space group ... P4/mmm (123)

Lattice parameters (Å, degrees): 3.8951 3.8951 4.2865 90.00 90.00 90.00
Closest atoms and distances in Å follow each position.
Atoms (fractional coordinates):
F 0.5000 0.0000 0.0000  2 Zn 1.95
F 0.0000 0.5000 0.0000  2 Zn 1.95
O 0.0000 0.0000 0.5000  2 Zn 2.14
Zn 0.0000 0.0000 0.0000  4 F 1.95, 2 O 2.14
Mo 0.5000 0.5000 0.5000  4 O 2.75, 8 F 2.90

***

--- two ---
Entry from Alexandria via LeMat-Bulk: a relaxed ZnMoOF2 crystal (GGA+U).

## Properties
M_tot ... 2.1 μB/f.u.
Space group ... P4/mmm (123)

Lattice parameters (Å, degrees): 4.2750 4.2750 4.0681 90.00 90.00 90.00
Closest atoms and distances in Å follow each position.
Atoms (fractional coordinates):
Mo 0.0000 0.0000 0.0000  2 O 2.03, 4 F 2.14
O 0.0000 0.0000 0.5000  2 Mo 2.03
Zn 0.5000 0.5000 0.5000  8 F 2.95, 4 O 3.02
F 0.5000 0.0000 0.0000  2 Mo 2.14
F 0.0000 0.5000 0.0000  2 Mo 2.14

***

Relative stability in kJ/mol of atoms, measured from the most stable structure: one 13.8; two 0.0

***

--- one ---
Entry from Alexandria via LeMat-Bulk: a relaxed MoOsF3 crystal (GGA+U).

## Properties
M_tot ... 7.0 μB/f.u.
Space group ... Pm-3m (221)

Lattice parameters (Å, degrees): 4.3284 4.3284 4.3284 90.00 90.00 90.00
Closest atoms and distances in Å follow each position.
Atoms (fractional coordinates):
F 0.0000 0.0000 0.5000  2 Mo 2.16
Mo 0.0000 0.0000 0.0000  6 F 2.16
F 0.0000 0.5000 0.0000  2 Mo 2.16
F 0.5000 0.0000 0.0000  2 Mo 2.16
Os 0.5000 0.5000 0.5000  12 F 3.06

***

--- two ---
Entry from Alexandria via LeMat-Bulk: a relaxed MoOsF3 crystal (GGA+U).

## Properties
M_tot ... 5.5 μB/f.u.
Space group ... Pm-3m (221)

Lattice parameters (Å, degrees): 4.2521 4.2521 4.2521 90.00 90.00 90.00
Closest atoms and distances in Å follow each position.
Atoms (fractional coordinates):
Os 0.0000 0.0000 0.0000  6 F 2.13
F 0.5000 0.0000 0.0000  2 Os 2.13
F 0.0000 0.5000 0.0000  2 Os 2.13
F 0.0000 0.0000 0.5000  2 Os 2.13
Mo 0.5000 0.5000 0.5000  12 F 3.01

***

Relative stability in kJ/mol of atoms, measured from the most stable structure: one 0.0; two 8.8

***

--- one ---
Entry from Alexandria via LeMat-Bulk: a relaxed MoOs2F crystal (GGA+U).

## Properties
M_tot ... 0.0 μB/f.u.
Space group ... Fm-3m (225)

Lattice parameters (Å, degrees): 4.3263 4.3263 4.3263 60.00 60.00 60.00
Closest atoms and distances in Å follow each position.
Atoms (fractional coordinates):
Os 0.7500 0.7500 0.7500  4 F 2.65, 4 Mo 2.65
Mo 0.5000 0.5000 0.5000  8 Os 2.65
Os 0.2500 0.2500 0.2500  4 F 2.65, 4 Mo 2.65
F 0.0000 0.0000 0.0000  8 Os 2.65

***

--- two ---
Entry from Alexandria via LeMat-Bulk: a relaxed MoOs2F crystal (GGA+U).

## Properties
M_tot ... 0.0 μB/f.u.
Space group ... I-42d (122)

Lattice parameters (Å, degrees): 6.7556 6.7556 5.4245 51.49 51.49 90.00
Closest atoms and distances in Å follow each position.
Atoms (fractional coordinates):
Os 0.6035 0.1250 0.2500  2 F 2.38, 2 Mo 2.57, 2 Os 2.59
Os 0.8750 0.8535 0.7500  2 F 2.38, 2 Mo 2.57, 2 Os 2.59
Mo 0.0000 0.0000 0.0000  2 F 2.57, 4 Os 2.57
Os 0.1465 0.6250 0.2500  2 F 2.38, 2 Mo 2.57, 2 Os 2.59
Mo 0.7500 0.2500 0.5000  2 F 2.57, 4 Os 2.57
Os 0.3750 0.3965 0.7500  2 F 2.38, 2 Mo 2.57, 2 Os 2.59
F 0.2500 0.7500 0.5000  4 Os 2.38, 2 Mo 2.57
F 0.5000 0.5000 0.0000  4 Os 2.38, 2 Mo 2.57

***

Relative stability in kJ/mol of atoms, measured from the most stable structure: one 0.0; two 11.6

***

--- one ---
Entry from Alexandria via LeMat-Bulk: a relaxed MoP2F crystal (GGA+U).

## Properties
M_tot ... 0.0 μB/f.u.
Space group ... I-42d (122)

Lattice parameters (Å, degrees): 5.3844 5.3844 6.6920 66.28 66.28 90.00
Closest atoms and distances in Å follow each position.
Atoms (fractional coordinates):
F 0.5000 0.5000 0.0000  4 P 2.40
P 0.6401 0.1250 0.2500  2 Mo 2.30, 2 F 2.40
Mo 0.7500 0.2500 0.5000  4 P 2.30
P 0.3750 0.3599 0.7500  2 Mo 2.30, 2 F 2.40
P 0.1099 0.6250 0.2500  2 Mo 2.30, 2 F 2.40
F 0.2500 0.7500 0.5000  4 P 2.40
P 0.8750 0.8901 0.7500  2 Mo 2.30, 2 F 2.40
Mo 0.0000 0.0000 0.0000  4 P 2.30

***

--- two ---
Entry from Alexandria via LeMat-Bulk: a relaxed MoP2F crystal (GGA+U).

## Properties
M_tot ... 0.0 μB/f.u.
Space group ... Fm-3m (225)

Lattice parameters (Å, degrees): 4.2848 4.2848 4.2848 60.00 60.00 60.00
Closest atoms and distances in Å follow each position.
Atoms (fractional coordinates):
F 0.0000 0.0000 0.0000  8 P 2.62
Mo 0.5000 0.5000 0.5000  8 P 2.62
P 0.2500 0.2500 0.2500  4 F 2.62, 4 Mo 2.62
P 0.7500 0.7500 0.7500  4 F 2.62, 4 Mo 2.62

***

Relative stability in kJ/mol of atoms, measured from the most stable structure: one 7.1; two 0.0

***

--- one ---
Entry from Alexandria via LeMat-Bulk: a relaxed MoP3F crystal (GGA+U).

## Properties
M_tot ... 2.8 μB/f.u.
Space group ... Pm-3m (221)

Lattice parameters (Å, degrees): 4.3430 4.3430 4.3430 90.00 90.00 90.00
Closest atoms and distances in Å follow each position.
Atoms (fractional coordinates):
P 0.0000 0.5000 0.0000  2 F 2.17
P 0.0000 0.0000 0.5000  2 F 2.17
F 0.0000 0.0000 0.0000  6 P 2.17
P 0.5000 0.0000 0.0000  2 F 2.17
Mo 0.5000 0.5000 0.5000  12 P 3.07

***

--- two ---
Entry from Alexandria via LeMat-Bulk: a relaxed MoP3F crystal (GGA+U).

## Properties
M_tot ... 0.0 μB/f.u.
Space group ... Pm-3m (221)

Lattice parameters (Å, degrees): 4.6468 4.6468 4.6468 90.00 90.00 90.00
Closest atoms and distances in Å follow each position.
Atoms (fractional coordinates):
P 0.0000 0.5000 0.0000  2 Mo 2.32
P 0.5000 0.0000 0.0000  2 Mo 2.32
P 0.0000 0.0000 0.5000  2 Mo 2.32
Mo 0.0000 0.0000 0.0000  6 P 2.32
F 0.5000 0.5000 0.5000  12 P 3.29

***

Relative stability in kJ/mol of atoms, measured from the most stable structure: one 22.6; two 0.0

***

--- one ---
Entry from Alexandria via LeMat-Bulk: a relaxed MoPb3F crystal (GGA+U).

## Properties
M_tot ... 1.0 μB/f.u.
Space group ... Pm-3m (221)

Lattice parameters (Å, degrees): 5.4104 5.4104 5.4104 90.00 90.00 90.00
Closest atoms and distances in Å follow each position.
Atoms (fractional coordinates):
Pb 0.5000 0.0000 0.0000  2 Mo 2.71
Pb 0.0000 0.5000 0.0000  2 Mo 2.71
Mo 0.0000 0.0000 0.0000  6 Pb 2.71
F 0.5000 0.5000 0.5000  12 Pb 3.83
Pb 0.0000 0.0000 0.5000  2 Mo 2.71

***

--- two ---
Entry from Alexandria via LeMat-Bulk: a relaxed MoPb3F crystal (GGA+U).

## Properties
M_tot ... 4.5 μB/f.u.
Space group ... Pm-3m (221)

Lattice parameters (Å, degrees): 5.1082 5.1082 5.1082 90.00 90.00 90.00
Closest atoms and distances in Å follow each position.
Atoms (fractional coordinates):
F 0.0000 0.0000 0.0000  6 Pb 2.55
Pb 0.0000 0.0000 0.5000  2 F 2.55
Pb 0.0000 0.5000 0.0000  2 F 2.55
Mo 0.5000 0.5000 0.5000  12 Pb 3.61
Pb 0.5000 0.0000 0.0000  2 F 2.55

***

Relative stability in kJ/mol of atoms, measured from the most stable structure: one 25.1; two 0.0

***

--- one ---
Entry from Alexandria via LeMat-Bulk: a relaxed MoPbF2 crystal (GGA+U).

## Properties
M_tot ... 4.0 μB/f.u.
Space group ... I-42d (122)

Lattice parameters (Å, degrees): 5.6047 5.6047 7.2496 67.26 67.26 90.00
Closest atoms and distances in Å follow each position.
Atoms (fractional coordinates):
F 0.8750 0.7671 0.7500  2 Mo 2.21
Mo 0.5000 0.5000 0.0000  4 F 2.21
Mo 0.2500 0.7500 0.5000  4 F 2.21
F 0.2329 0.6250 0.2500  2 Mo 2.21
Pb 0.7500 0.2500 0.5000  4 F 2.88
F 0.3750 0.4829 0.7500  2 Mo 2.21
Pb 0.0000 0.0000 0.0000  4 F 2.88
F 0.5171 0.1250 0.2500  2 Mo 2.21

***

--- two ---
Entry from Alexandria via LeMat-Bulk: a relaxed MoPbF2 crystal (GGA+U).

## Properties
M_tot ... 2.1 μB/f.u.
Space group ... R-3m (166)

Lattice parameters (Å, degrees): 9.6044 9.6044 9.6044 19.68 19.68 19.68
Closest atoms and distances in Å follow each position.
Atoms (fractional coordinates):
F 0.1243 0.1243 0.1243  3 Mo 2.24
F 0.8757 0.8757 0.8757  3 Mo 2.24
Pb 0.0000 0.0000 0.0000  6 Pb 3.28, 2 F 3.51
Mo 0.5000 0.5000 0.5000  6 F 2.24

***

--- three ---
Entry from Alexandria via LeMat-Bulk: a relaxed MoPbF2 crystal (GGA+U).

## Properties
M_tot ... 5.2 μB/f.u.
Space group ... Fm-3m (225)

Lattice parameters (Å, degrees): 4.6784 4.6784 4.6784 60.00 60.00 60.00
Closest atoms and distances in Å follow each position.
Atoms (fractional coordinates):
F 0.2500 0.2500 0.2500  4 Pb 2.86, 4 Mo 2.86
F 0.7500 0.7500 0.7500  4 Mo 2.86, 4 Pb 2.86
Mo 0.0000 0.0000 0.0000  8 F 2.86
Pb 0.5000 0.5000 0.5000  8 F 2.86

***

Relative stability in kJ/mol of atoms, measured from the most stable structure: one 13.0; two 0.0; three 22.5

***

--- one ---
Entry from Alexandria via LeMat-Bulk: a relaxed MoPb2F crystal (GGA+U).

## Properties
M_tot ... 4.4 μB/f.u.
Space group ... I-42d (122)

Lattice parameters (Å, degrees): 5.3905 5.3905 8.9446 72.46 72.46 90.00
Closest atoms and distances in Å follow each position.
Atoms (fractional coordinates):
F 0.2500 0.7500 0.5000  4 Pb 2.58
Pb 0.3750 0.4659 0.7500  2 F 2.58
Mo 0.7500 0.2500 0.5000  4 Pb 3.05
Pb 0.8750 0.7841 0.7500  2 F 2.58
Pb 0.2159 0.6250 0.2500  2 F 2.58
F 0.5000 0.5000 0.0000  4 Pb 2.58
Mo 0.0000 0.0000 0.0000  4 Pb 3.05
Pb 0.5341 0.1250 0.2500  2 F 2.58

***

--- two ---
Entry from Alexandria via LeMat-Bulk: a relaxed MoPb2F crystal (GGA+U).

## Properties
M_tot ... 3.8 μB/f.u.
Space group ... Fm-3m (225)

Lattice parameters (Å, degrees): 5.0675 5.0675 5.0675 60.00 60.00 60.00
Closest atoms and distances in Å follow each position.
Atoms (fractional coordinates):
Pb 0.7500 0.7500 0.7500  4 Mo 3.10, 4 F 3.10
Mo 0.5000 0.5000 0.5000  8 Pb 3.10
F 0.0000 0.0000 0.0000  8 Pb 3.10
Pb 0.2500 0.2500 0.2500  4 F 3.10, 4 Mo 3.10

***

Relative stability in kJ/mol of atoms, measured from the most stable structure: one 7.8; two 0.0